{
  "formula": "Na2TlPb6",
  "functional": "PBE",
  "state": "relaxed",
  "relative_energy_ev_per_atom": 0.0028,
  "final_energy_ev_per_fu": -27.426,
  "formation_energy_ev_per_atom": -0.019,
  "spacegroup": "C2/m",
  "lattice": [[8.1255, -0.8704, -0.5037], [-0.8987, 6.5130, -0.0928], [-0.8987, 3.1644, 5.6934]],
  "species": ["Na", "Tl", "Pb", "Pb", "Na", "Pb", "Pb", "Pb", "Pb"],
  "frac_coords": [[0.8205, 0.6797, 0.6797], [0.0000, 0.0000, 0.0000], [0.3733, 0.8490, 0.3467], [0.3733, 0.3467, 0.8490], [0.1795, 0.3203, 0.3203], [0.6267, 0.6533, 0.1510], [0.7494, 0.1800, 0.1800], [0.2506, 0.8200, 0.8200], [0.6267, 0.1510, 0.6533]]
}